{"formula": "ErPaCoRh", "functional": "GGA-PBE", "state": "relaxed", "lattice_angstrom": [[3.652, 0.000, 0.000], [0.000, 3.892, 0.000], [-1.826, 0.000, 5.578]], "species": ["Co", "Rh", "Pa", "Er"], "frac_coords": [[0.401, 0.000, 0.801], [0.577, 0.500, 0.154], [0.874, 0.500, 0.748], [0.148, 0.000, 0.296]], "de_polymorph_mev_per_atom": 0, "volume_a3_per_cell": 79.30, "sg": "Amm2 (38)", "e_tot_ev_per_atom": -7.730, "delta_e_f_mev_per_atom": -601}


{"formula": "KCu2Ag", "functional": "GGA-PBE", "state": "relaxed", "lattice_angstrom": [[4.610, 0.000, 0.000], [0.000, 2.790, 0.002], [0.000, 1.224, 6.698]], "species": ["Cu", "Cu", "K", "Ag"], "frac_coords": [[0.000, 0.962, 0.905], [0.000, 0.538, 0.595], [0.500, 0.250, 0.250], [0.500, 0.750, 0.750]], "de_polymorph_mev_per_atom": 52, "volume_a3_per_cell": 86.15, "sg": "P2/m (10)", "e_tot_ev_per_atom": -2.683, "delta_e_f_mev_per_atom": 352}


{"formula": "Zr3BeRh", "functional": "GGA-PBE", "state": "relaxed", "lattice_angstrom": [[-0.202, -4.525, -0.963], [0.212, -0.972, 4.523], [-4.621, 0.154, 0.250]], "species": ["Be", "Rh", "Zr", "Zr", "Zr"], "frac_coords": [[0.000, 0.000, 0.000], [0.500, 0.500, 0.500], [0.000, 0.500, 0.000], [0.500, 0.000, 0.000], [0.000, 0.000, 0.500]], "de_polymorph_mev_per_atom": 0, "volume_a3_per_cell": 99.29, "sg": "Pm-3m (221)", "e_tot_ev_per_atom": -7.030, "delta_e_f_mev_per_atom": 314}


{"formula": "NaGa6S8", "functional": "GGA-PBE", "state": "relaxed", "lattice_angstrom": [[6.791, -0.070, -0.072], [-0.281, 6.785, -0.072], [-0.281, -0.290, 6.780]], "species": ["S", "S", "S", "S", "S", "S", "S", "S", "Na", "Ga", "Ga", "Ga", "Ga", "Ga", "Ga"], "frac_coords": [[0.337, 0.168, 0.816], [0.673, 0.673, 0.673], [0.184, 0.663, 0.832], [0.663, 0.832, 0.184], [0.168, 0.816, 0.337], [0.816, 0.337, 0.168], [0.832, 0.184, 0.663], [0.327, 0.327, 0.327], [0.000, 0.000, 0.000], [0.373, 0.614, 0.136], [0.136, 0.373, 0.614], [0.614, 0.136, 0.373], [0.386, 0.864, 0.627], [0.864, 0.627, 0.386], [0.627, 0.386, 0.864]], "volume_a3_per_cell": 311.98, "sg": "R-3 (148)", "e_tot_ev_per_atom": -3.997, "raw_formation_energy_ev_per_atom": -0.497}


{"formula": "LiZn7Ga12", "functional": "GGA-PBE", "state": "relaxed", "lattice_angstrom": [[7.543, -0.090, -0.135], [-2.184, 7.220, -0.135], [-2.184, -2.906, 6.611]], "species": ["Ga", "Ga", "Ga", "Ga", "Ga", "Ga", "Ga", "Ga", "Ga", "Ga", "Ga", "Ga", "Zn", "Zn", "Zn", "Zn", "Zn", "Zn", "Zn", "Li"], "frac_coords": [[0.343, 0.343, 0.087], [0.657, 0.913, 0.657], [0.776, 0.500, 0.224], [0.657, 0.657, 0.913], [0.500, 0.776, 0.224], [0.500, 0.224, 0.776], [0.087, 0.343, 0.343], [0.224, 0.500, 0.776], [0.913, 0.657, 0.657], [0.776, 0.224, 0.500], [0.343, 0.087, 0.343], [0.224, 0.776, 0.500], [0.075, 0.694, 0.075], [0.306, 0.925, 0.925], [0.075, 0.075, 0.694], [0.925, 0.925, 0.306], [0.925, 0.306, 0.925], [0.694, 0.075, 0.075], [0.500, 0.500, 0.500], [0.000, 0.000, 0.000]], "volume_a3_per_cell": 352.74, "sg": "R-3m (166)", "e_tot_ev_per_atom": -2.341, "delta_e_f_mev_per_atom": 17}


{"formula": "LiLaTl", "functional": "GGA-PBE", "state": "relaxed", "lattice_angstrom": [[5.681, 0.000, -0.014], [2.463, 5.120, 0.014], [-3.496, -3.477, 2.823]], "species": ["La", "Li", "Tl"], "frac_coords": [[0.005, 0.005, 0.000], [0.329, 0.329, 0.000], [0.665, 0.665, 0.000]], "de_polymorph_mev_per_atom": 132, "volume_a3_per_cell": 82.26, "sg": "Imm2 (44)", "e_tot_ev_per_atom": -3.248, "delta_e_f_mev_per_atom": -179}


{"formula": "La2SmUO8", "functional": "GGA-PBE", "state": "relaxed", "lattice_angstrom": [[-3.065, -2.135, -1.370], [-1.776, -0.836, 5.257], [-4.281, 6.419, -0.426]], "species": ["O", "O", "O", "O", "O", "O", "O", "O", "La", "La", "U", "Sm"], "frac_coords": [[0.999, 0.770, 0.221], [0.501, 0.219, 0.000], [0.999, 0.770, 0.779], [0.001, 0.230, 0.221], [0.500, 0.754, 0.500], [0.500, 0.246, 0.500], [0.001, 0.230, 0.779], [0.499, 0.781, 0.000], [0.500, 0.500, 0.752], [0.500, 0.500, 0.248], [0.000, 0.000, 0.000], [0.000, 0.000, 0.500]], "volume_a3_per_cell": 172.50, "sg": "Pmmm (47)", "e_tot_ev_per_atom": -8.688, "raw_formation_energy_ev_per_atom": -3.227}


{"formula": "ScFe2P", "functional": "GGA-PBE", "state": "relaxed", "lattice_angstrom": [[1.555, 4.058, -0.008], [-1.555, 4.058, -0.008], [0.000, 1.277, 4.259]], "species": ["Sc", "Fe", "Fe", "P"], "frac_coords": [[0.000, 0.000, 0.500], [0.225, 0.225, 0.810], [0.775, 0.775, 0.190], [0.500, 0.500, 0.000]], "volume_a3_per_cell": 53.77, "sg": "C2/m (12)", "e_tot_ev_per_atom": -7.494, "delta_e_f_mev_per_atom": -327}